Y2CrCdIr | PBE-GGA | optimized geometry

Values from the calculation:
Electronic total energy, eV per atom: -6.43
Size of the total moment, μB per atom: 0.60
E_form, eV/atom: 0.03
D(E_F), states/eV per atom: 0.883
Space-group type: P4/mmm
Mass density, Mg/m³: 6.449

POSCAR file:
```
Y2CrCdIr
1.0
5.4447 0.0000 0.0000
0.0000 5.4447 0.0000
0.0000 0.0000 4.6421
Y Cr Cd Ir
2 1 1 1
Direct
0.0000 0.5000 0.0000
0.5000 0.0000 0.0000
0.0000 0.0000 0.5000
0.5000 0.5000 0.5000
0.0000 0.0000 0.0000
```

In6BiPb8 | PBE-GGA | optimized geometry

Values from the calculation:
Electronic total energy, eV per atom: -3.27
Size of the total moment, μB per atom: 0.00
E_form, eV/atom: 0.07
D(E_F), states/eV per atom: 0.604
Space-group type: R-3
Mass density, Mg/m³: 9.233

POSCAR file:
```
In6BiPb8
1.0
4.7169 2.7233 5.9632
-4.7169 2.7233 5.9632
0.0000 -5.4466 5.9632
In Bi Pb
6 1 8
Direct
0.1142 0.5480 0.7914
0.2086 0.8858 0.4520
0.4520 0.2086 0.8858
0.5480 0.7914 0.1142
0.7914 0.1142 0.5480
0.8858 0.4520 0.2086
0.5000 0.5000 0.5000
0.0885 0.0885 0.0885
0.1339 0.2742 0.5582
0.2742 0.5582 0.1339
0.4418 0.8661 0.7258
0.5582 0.1339 0.2742
0.7258 0.4418 0.8661
0.8661 0.7258 0.4418
0.9115 0.9115 0.9115
```